{"formula": "PaTc2W", "functional": "PBE-GGA", "state": "relaxed", "cell": [[-1.479, 1.119, 2.279], [0.636, -0.869, 2.734], [6.026, 6.959, 2.388]], "species": ["W", "Tc", "Tc", "Pa"], "frac_coords": [[0.000, 0.000, 0.000], [0.259, 0.259, 0.222], [0.741, 0.741, 0.778], [0.500, 0.500, 0.500]], "delta_e_f_ev_per_atom": 0.278, "de_polymorph_mev_per_atom": 317}

{"formula": "PaTcW", "functional": "PBE-GGA", "state": "relaxed", "cell": [[-1.400, -2.033, 1.601], [1.768, 0.577, 2.280], [-4.558, 5.467, 0.253]], "species": ["W", "Pa", "Tc"], "frac_coords": [[0.424, 0.424, 0.849], [0.620, 0.620, 0.241], [0.805, 0.805, 0.610]], "delta_e_f_ev_per_atom": 0.696, "de_polymorph_mev_per_atom": 434}

{"formula": "PaTc2W", "functional": "PBE-GGA", "state": "relaxed", "cell": [[-4.029, 0.098, 2.297], [-0.319, -1.931, 4.206], [-0.464, 2.683, 3.756]], "species": ["W", "Tc", "Tc", "Pa"], "frac_coords": [[0.500, 0.500, 0.500], [0.250, 0.250, 0.250], [0.750, 0.750, 0.750], [0.000, 0.000, 0.000]], "delta_e_f_ev_per_atom": 0.043, "de_polymorph_mev_per_atom": 82}

{"formula": "PaTc2W", "functional": "PBE-GGA", "state": "relaxed", "cell": [[-2.742, -0.121, 1.702], [-2.018, -2.460, -3.426], [1.425, -3.973, 2.013]], "species": ["W", "Tc", "Tc", "Pa"], "frac_coords": [[0.500, 0.000, 0.000], [0.000, 0.500, 0.000], [0.000, 0.000, 0.500], [0.500, 0.500, 0.500]], "delta_e_f_ev_per_atom": -0.008, "de_polymorph_mev_per_atom": 31}

{"formula": "PaTcW", "functional": "PBE-GGA", "state": "relaxed", "cell": [[-1.991, -0.762, -2.259], [4.101, -7.066, -3.366], [-5.307, -5.521, 4.407]], "species": ["Tc", "Tc", "Tc", "Tc", "W", "W", "W", "W", "Pa", "Pa", "Pa", "Pa"], "frac_coords": [[0.500, 0.851, 0.149], [0.351, 0.149, 0.149], [0.649, 0.851, 0.851], [0.500, 0.149, 0.851], [0.187, 0.000, 0.626], [0.187, 0.626, 0.000], [0.813, 0.000, 0.374], [0.813, 0.374, 0.000], [0.333, 0.667, 0.667], [0.000, 0.667, 0.333], [0.667, 0.333, 0.333], [0.000, 0.333, 0.667]], "delta_e_f_ev_per_atom": 0.481, "de_polymorph_mev_per_atom": 219}

{"formula": "YPaTc4", "functional": "PBE-GGA", "state": "relaxed", "cell": [[-1.382, 1.566, 4.982], [-5.020, -0.850, 1.803], [-0.902, -3.692, 3.839]], "species": ["Tc", "Tc", "Tc", "Tc", "Y", "Pa"], "frac_coords": [[0.625, 0.625, 0.625], [0.126, 0.625, 0.625], [0.625, 0.126, 0.625], [0.625, 0.625, 0.126], [0.250, 0.250, 0.250], [0.000, 0.000, 0.000]], "delta_e_f_ev_per_atom": -0.093}